(1)
A relaxed TaCr2Re crystal, computed with GGA-PBE.

Calculated values
- energy above the most stable polymorph in this dataset (meV per atom) = 142
- uncorrected energy (eV per cell) = -86.63

Cell lengths 3.0603, 4.4082, 8.4343 Å; angles 90.00, 90.00, 90.00 degrees
Space group Cmm2 (No. 35)
Inequivalent atoms, fractional coordinates:
Ta  0.0000  0.0000  0.0000 x2
Cr  0.0000  0.0000  0.5220 x2
Cr  0.0000  0.5000  0.7400 x2
Re  0.0000  0.5000  0.2769 x2

---

(2)
A relaxed TaCr2Re crystal, computed with GGA-PBE.

Calculated values
- energy above the most stable polymorph in this dataset (meV per atom) = 172
- uncorrected energy (eV per cell) = -86.39

Cell lengths 3.0592, 4.4131, 8.4564 Å; angles 90.00, 90.00, 90.00 degrees
Space group Cmmm (No. 65)
Inequivalent atoms, fractional coordinates:
Ta  0.0000  0.0000  0.0000 x2
Cr  0.0000  0.5000  0.2585 x4
Re  0.0000  0.0000  0.5000 x2

---

(3)
A relaxed TaCrReTc crystal, computed with GGA-PBE.

Calculated values
- uncorrected energy (eV per cell) = -178.51

Cell lengths 6.2112, 6.2112, 6.2112 Å; angles 90.00, 90.00, 90.00 degrees
Space group F-43m (No. 216)
Inequivalent atoms, fractional coordinates:
Ta  0.0000  0.0000  0.0000 x4
Cr  0.0000  0.0000  0.5000 x4
Re  0.2500  0.2500  0.7500 x4
Tc  0.2500  0.2500  0.2500 x4

---

(4)
A relaxed TaTiCrRe crystal, computed with GGA-PBE.

Calculated values
- uncorrected energy (eV per cell) = -171.03

Cell lengths 6.2408, 6.2408, 6.2408 Å; angles 90.00, 90.00, 90.00 degrees
Space group F-43m (No. 216)
Inequivalent atoms, fractional coordinates:
Ta  0.0000  0.0000  0.0000 x4
Ti  0.0000  0.0000  0.5000 x4
Cr  0.2500  0.2500  0.2500 x4
Re  0.2500  0.2500  0.7500 x4

---

(5)
A relaxed TaVCrRe crystal, computed with GGA-PBE.

Calculated values
- uncorrected energy (eV per cell) = -175.48

Cell lengths 6.1538, 6.1538, 6.1538 Å; angles 90.00, 90.00, 90.00 degrees
Space group F-43m (No. 216)
Inequivalent atoms, fractional coordinates:
Ta  0.0000  0.0000  0.0000 x4
V  0.0000  0.0000  0.5000 x4
Cr  0.2500  0.2500  0.7500 x4
Re  0.2500  0.2500  0.2500 x4

---

(6)
A relaxed TaZnCrRe2 crystal, computed with GGA-PBE.

Calculated values
- uncorrected energy (eV per cell) = -36.82

Cell lengths 4.7935, 4.7935, 4.4713 Å; angles 90.00, 90.00, 90.00 degrees
Space group P4/mmm (No. 123)
Inequivalent atoms, fractional coordinates:
Ta  0.0000  0.0000  0.0000 x1
Zn  0.5000  0.5000  0.5000 x1
Cr  0.0000  0.0000  0.5000 x1
Re  0.0000  0.5000  0.0000 x2

---

Result set for DOS at the Fermi energy: 2.7 2.8 3.3 4.0 3.0 8.9 states/eV/f.u., one per record in the order listed.
Result set for energy relative to the elements: 59 89 -84 -235 -207 2165 meV/atom, one per record in the order listed.